1.
A plane-wave DFT calculation with PBE-GGA was carried out for crystalline Sn3MoPt12 at its relaxed geometry.

Lattice parameters (Å, degrees): 4.026 4.026 16.260 90.00 90.00 90.00
Last column: magnetic moment on the atom in μB.
Sites, in units of the cell vectors:
Pt  0.500  0.500  0.245  0.01
Pt  0.500  0.500  0.755  0.01
Pt  0.000  0.500  0.882  0.03
Pt  0.000  0.500  0.627  0.01
Pt  0.500  0.000  0.373  0.01
Pt  0.500  0.000  0.882  0.03
Pt  0.000  0.500  0.118  0.03
Pt  0.500  0.000  0.627  0.01
Pt  0.500  0.500  0.000  0.05
Pt  0.500  0.000  0.118  0.03
Pt  0.500  0.500  0.500  0.01
Pt  0.000  0.500  0.373  0.01
Sn  0.000  0.000  0.250  0.01
Sn  0.000  0.000  0.750  0.01
Sn  0.000  0.000  0.500  0.00
Mo  0.000  0.000  0.000  0.87

**Symmetry**: P4/mmm (123)
**Energy of formation**: -0.333 eV/atom

2.
A plane-wave DFT calculation with PBE-GGA was carried out for crystalline Li2Pr2DyIn5 at its relaxed geometry.

Lattice parameters (Å, degrees): 4.554 10.381 10.381 90.00 90.00 90.00
Sites, in units of the cell vectors:
In  0.500  0.289  0.567
In  0.500  0.789  0.933
In  0.500  0.711  0.433
In  0.500  0.000  0.500
In  0.500  0.211  0.067
In  0.500  0.067  0.789
In  0.500  0.433  0.289
In  0.500  0.500  0.000
In  0.500  0.933  0.211
In  0.500  0.567  0.711
Li  0.000  0.116  0.616
Li  0.000  0.616  0.884
Li  0.000  0.884  0.384
Li  0.000  0.384  0.116
Pr  0.000  0.178  0.322
Pr  0.000  0.678  0.178
Pr  0.000  0.322  0.822
Pr  0.000  0.822  0.678
Dy  0.000  0.000  0.000
Dy  0.000  0.500  0.500

**Symmetry**: P4/mbm (127)
**Energy of formation**: -0.429 eV/atom

3.
A plane-wave DFT calculation with PBE-GGA was carried out for crystalline RbTmPb2I8 at its relaxed geometry.

Lattice parameters (Å, degrees): 7.798 7.364 9.859 89.89 89.95 88.61
Sites, in units of the cell vectors:
I  0.624  0.733  0.500
I  0.323  0.231  0.000
I  0.376  0.267  0.500
I  0.152  0.754  0.788
I  0.848  0.246  0.212
I  0.849  0.247  0.787
I  0.151  0.753  0.213
I  0.677  0.769  0.000
Tm  0.000  0.000  0.000
Rb  0.000  0.000  0.500
Pb  0.500  0.500  0.248
Pb  0.500  0.500  0.752

**Symmetry**: P-1 (2)
**E_form (uncorrected)**: -0.980 eV per atom

4.
A plane-wave DFT calculation with PBE-GGA was carried out for crystalline Tl6Hg5Te at its relaxed geometry.

Lattice parameters (Å, degrees): 5.430 7.650 9.157 90.00 107.63 90.00
Sites, in units of the cell vectors:
Tl  0.160  0.252  0.326
Tl  0.500  0.256  0.000
Tl  0.160  0.748  0.326
Tl  0.500  0.744  0.000
Tl  0.840  0.252  0.674
Tl  0.840  0.748  0.674
Hg  0.665  0.500  0.342
Hg  0.334  0.000  0.660
Hg  0.000  0.500  0.000
Hg  0.666  0.000  0.340
Hg  0.335  0.500  0.658
Te  0.000  0.000  0.000

**Symmetry**: P2/m (10)
**E_form (uncorrected)**: -0.061 eV per atom

5.
A plane-wave DFT calculation with PBE-GGA was carried out for crystalline ErThHg5 at its relaxed geometry.

Lattice parameters (Å, degrees): 5.058 5.058 7.263 90.00 90.00 90.00
Sites, in units of the cell vectors:
Hg  0.500  0.000  0.776
Hg  0.000  0.500  0.776
Hg  0.500  0.500  0.500
Hg  0.500  0.000  0.224
Hg  0.000  0.500  0.224
Th  0.000  0.000  0.500
Er  0.500  0.500  0.000

**Symmetry**: P4/mmm (123)
**Energy of formation**: -0.174 eV/atom

6.
A plane-wave DFT calculation with PBE-GGA was carried out for crystalline TaSe at its relaxed geometry.

Lattice parameters (Å, degrees): 5.808 5.808 5.808 148.41 134.21 56.69
Sites, in units of the cell vectors:
Ta  0.519  0.519  0.000
Ta  0.231  0.731  0.500
Se  0.731  0.231  0.500
Se  0.019  0.019  0.000

**Symmetry**: Imma (74)
**E_form (uncorrected)**: -0.149 eV per atom

7.
A plane-wave DFT calculation with PBE-GGA was carried out for crystalline BiSbPdI2 at its relaxed geometry.

Lattice parameters (Å, degrees): 6.146 6.146 5.980 90.00 90.00 90.00
Last column: magnetic moment on the atom in μB.
Sites, in units of the cell vectors:
I  0.500  0.000  0.000  0.06
I  0.000  0.500  0.000  0.06
Pd  0.500  0.500  0.500  0.41
Sb  0.000  0.000  0.500  0.48
Bi  0.000  0.000  0.000  -0.07

**Symmetry**: P4/mmm (123)
**E_form (uncorrected)**: 0.755 eV per atom
**Excess energy over the best structure of this formula in the dataset**: 50.9 kJ/mol of atoms

8.
A plane-wave DFT calculation with PBE-GGA was carried out for crystalline Zr3GaRu4 at its relaxed geometry.

Lattice parameters (Å, degrees): 3.250 3.250 12.671 90.00 90.00 90.00
Sites, in units of the cell vectors:
Ru  0.000  0.000  0.114
Ru  0.000  0.000  0.886
Ru  0.000  0.000  0.371
Ru  0.000  0.000  0.629
Zr  0.500  0.500  0.763
Zr  0.500  0.500  0.500
Zr  0.500  0.500  0.237
Ga  0.500  0.500  0.000

**Symmetry**: P4/mmm (123)
**Energy of formation**: -0.597 eV/atom

9.
A plane-wave DFT calculation with PBE-GGA was carried out for crystalline Na3Ce2C4O12F at its relaxed geometry.

Lattice parameters (Å, degrees): 5.126 5.126 22.924 90.00 90.00 120.00
Last column: magnetic moment on the atom in μB.
Sites, in units of the cell vectors:
O  0.146  0.293  0.563  0.00
O  0.854  0.707  0.063  0.00
O  0.146  0.854  0.563  0.00
O  0.146  0.293  0.937  0.00
O  0.812  0.188  0.825  0.00
O  0.854  0.146  0.437  0.00
O  0.625  0.812  0.325  0.00
O  0.375  0.188  0.675  0.00
O  0.707  0.854  0.563  0.00
O  0.293  0.146  0.063  0.00
O  0.293  0.146  0.437  0.00
O  0.146  0.854  0.937  0.00
O  0.625  0.812  0.175  0.00
O  0.854  0.146  0.063  0.00
O  0.812  0.625  0.825  0.00
O  0.375  0.188  0.825  0.00
O  0.188  0.812  0.325  0.00
O  0.188  0.812  0.175  0.00
O  0.812  0.188  0.675  0.00
O  0.188  0.375  0.175  0.00
O  0.854  0.707  0.437  0.00
O  0.188  0.375  0.325  0.00
O  0.707  0.854  0.937  0.00
O  0.812  0.625  0.675  0.00
C  0.333  0.667  0.176  0.00
C  0.333  0.667  0.324  0.00
C  0.667  0.333  0.676  0.00
C  0.667  0.333  0.824  0.00
C  0.000  0.000  0.064  0.00
C  0.000  0.000  0.564  0.00
C  0.000  0.000  0.936  0.00
C  0.000  0.000  0.436  0.00
Na  0.667  0.333  0.525  0.00
Na  0.667  0.333  0.975  0.00
Na  0.333  0.667  0.475  0.00
Na  0.000  0.000  0.250  0.00
Na  0.000  0.000  0.750  0.00
Na  0.333  0.667  0.025  0.00
Ce  0.333  0.667  0.854  0.97
Ce  0.667  0.333  0.146  0.97
Ce  0.667  0.333  0.354  0.97
Ce  0.333  0.667  0.646  0.97
F  0.333  0.667  0.750  0.00
F  0.667  0.333  0.250  0.00

**Symmetry**: P6_3/mmc (194)
**E_form (uncorrected)**: -2.123 eV per atom

10.
A plane-wave DFT calculation with PBE-GGA was carried out for crystalline Pm5Nd3Er3 at its relaxed geometry.

Lattice parameters (Å, degrees): 3.668 11.745 9.427 111.07 90.01 81.08
Sites, in units of the cell vectors:
Pm  0.266  0.376  0.050
Pm  0.412  0.086  0.378
Pm  0.635  0.641  0.270
Pm  0.838  0.236  0.704
Pm  0.595  0.722  0.682
Er  0.032  0.847  0.059
Er  0.437  0.034  0.846
Er  0.864  0.180  0.158
Nd  0.006  0.897  0.507
Nd  0.239  0.429  0.473
Nd  0.677  0.552  0.873

**Symmetry**: P1 (1)
**Energy of formation**: 0.096 eV/atom
**Excess energy over the best structure of this formula in the dataset**: 0.0 kJ/mol of atoms

11.
A plane-wave DFT calculation with PBE-GGA was carried out for crystalline LiCaOs2 at its relaxed geometry.

Lattice parameters (Å, degrees): 4.022 4.022 10.032 78.44 78.44 90.00
Sites, in units of the cell vectors:
Os  0.875  0.781  0.750
Os  0.531  0.125  0.250
Os  0.219  0.625  0.250
Os  0.375  0.469  0.750
Ca  0.750  0.250  0.500
Ca  0.000  0.000  0.000
Li  0.250  0.750  0.500
Li  0.500  0.500  0.000

**Symmetry**: I-42d (122)
**Energy of formation**: 0.631 eV/atom
**Excess energy over the best structure of this formula in the dataset**: 30.5 kJ/mol of atoms

12.
A plane-wave DFT calculation with PBE-GGA was carried out for crystalline Rb4La3CeTe8 at its relaxed geometry.

Lattice parameters (Å, degrees): 9.481 10.140 9.482 117.88 120.00 90.00
Last column: magnetic moment on the atom in μB.
Sites, in units of the cell vectors:
Te  0.766  0.295  0.029  -0.01
Te  0.766  0.295  0.532  -0.01
Te  0.735  0.706  0.471  0.00
Te  0.234  0.705  0.468  -0.01
Te  0.737  0.705  0.971  -0.01
Te  0.234  0.705  0.971  -0.01
Te  0.265  0.294  0.529  0.00
Te  0.263  0.295  0.029  -0.01
Rb  0.500  0.000  0.500  0.00
Rb  0.500  0.000  0.000  0.00
Rb  0.000  0.000  0.500  0.00
Rb  0.000  0.000  0.000  0.00
La  0.500  0.500  0.500  0.00
La  0.000  0.500  0.500  0.00
La  0.500  0.500  0.000  0.00
Ce  0.000  0.500  0.000  0.99

**Symmetry**: R-3m (166)
**E_form (uncorrected)**: -1.451 eV per atom

13.
A plane-wave DFT calculation with PBE-GGA was carried out for crystalline CaMg2InPd at its relaxed geometry.

Lattice parameters (Å, degrees): 5.033 5.033 5.187 90.00 90.00 90.00
Sites, in units of the cell vectors:
Ca  0.500  0.500  0.500
Mg  0.500  0.000  0.000
Mg  0.000  0.500  0.000
In  0.000  0.000  0.500
Pd  0.000  0.000  0.000

**Symmetry**: P4/mmm (123)
**Energy of formation**: -0.306 eV/atom

14.
A plane-wave DFT calculation with PBE-GGA was carried out for crystalline CrSiNi2 at its relaxed geometry.

Lattice parameters (Å, degrees): 4.284 4.284 4.284 129.34 129.34 74.47
Last column: magnetic moment on the atom in μB.
Sites, in units of the cell vectors:
Si  0.250  0.750  0.500  -0.06
Ni  0.500  0.500  0.000  0.17
Ni  0.000  0.000  0.000  0.17
Cr  0.750  0.250  0.500  2.09

**Symmetry**: I4/mmm (139)
**E_form (uncorrected)**: -0.247 eV per atom

15.
A plane-wave DFT calculation with PBE-GGA was carried out for crystalline Na2SrNbS4 at its relaxed geometry.

Lattice parameters (Å, degrees): 5.978 8.091 9.330 90.00 90.00 90.00
Last column: magnetic moment on the atom in μB.
Sites, in units of the cell vectors:
Na  0.936  0.660  0.764  0.00
Na  0.436  0.340  0.736  0.00
Na  0.436  0.340  0.264  0.00
Na  0.936  0.660  0.236  0.00
S  0.439  0.110  0.500  0.01
S  0.422  0.686  0.280  -0.01
S  0.922  0.314  0.220  -0.01
S  0.922  0.314  0.780  -0.01
S  0.898  0.794  0.500  0.01
S  0.939  0.890  0.000  0.01
S  0.398  0.206  0.000  0.01
S  0.422  0.686  0.720  -0.01
Nb  0.506  0.817  0.500  0.73
Nb  0.006  0.183  0.000  0.73
Sr  0.940  0.143  0.500  0.02
Sr  0.440  0.857  0.000  0.02

**Symmetry**: Pmn2_1 (31)
**E_form (uncorrected)**: -1.214 eV per atom

16.
A plane-wave DFT calculation with PBE-GGA was carried out for crystalline MgNiH at its relaxed geometry.

Lattice parameters (Å, degrees): 3.148 3.148 3.184 90.00 90.00 90.00
Sites, in units of the cell vectors:
H  0.500  0.500  0.000
Mg  0.000  0.000  0.000
Ni  0.500  0.500  0.500

**Symmetry**: P4/mmm (123)
**Excess energy over the best structure of this formula in the dataset**: 0.0 kJ/mol of atoms

17.
A plane-wave DFT calculation with PBE-GGA was carried out for crystalline NaIr2C2 at its relaxed geometry.

Lattice parameters (Å, degrees): 3.671 3.671 5.483 70.44 70.44 90.00
Sites, in units of the cell vectors:
C  0.250  0.750  0.500
C  0.750  0.250  0.500
Na  0.000  0.000  0.000
Ir  0.350  0.350  0.300
Ir  0.650  0.650  0.700

**Symmetry**: I4/mmm (139)
**Energy of formation**: 0.780 eV/atom
**Excess energy over the best structure of this formula in the dataset**: 0.0 kJ/mol of atoms